# RbZrAlSe3

RbZrAlSe3 after structural relaxation (GGA-PBE, OQMD).

Its final energy is -118.85 eV/cell. Its mass density is 4.54 g/cm3. As for the crystal system: orthorhombic.

It has space group Cmcm (No. 63), with a = 3.813 Å, b = 16.151 Å, c = 10.462 Å, α = 90.00°, β = 90.00° and γ = 90.00°. Symmetry generates all atoms from Rb at (0.000, 0.241, 0.250), Zr at (0.000, 0.500, 0.000), Al at (0.000, 0.041, 0.750), Se at (0.000, 0.124, 0.560) and Se at (0.000, 0.444, 0.750).